Material: PaMnGeO6
Method: DFT, GGA+U
State: relaxed

a b c (Å): 5.3341 5.3341 8.8719
angles (deg): 90.00 90.00 120.00
Space group P-31c (No. 163)
Symmetry-distinct sites (fractional):
Pa (0.3333, 0.6667, 0.2500) x2
Mn (0.0000, 0.0000, 0.0000) x2
Ge (0.3333, 0.6667, 0.7500) x2
O (0.0355, 0.3570, 0.6298) x12

Calculated values
calculated total energy = -70.6 eV per formula unit
theoretical density = 6.91 g/cm³